(1)
Compound: NaTl2AsSe4
Source: Alexandria
Functional: PBE
Structure: optimized geometry

a b c (Å): 6.3644 9.4956 8.9218
angles (deg): 90.00 90.00 90.00
Last column: nearest neighbours and their distance in Å.
Sites, in units of the cell vectors:
Se  0.9027  0.7959  0.5000  1 As 2.38
Se  0.4431  0.0568  0.5000  1 As 2.36
Se  0.9431  0.9432  0.0000  1 As 2.36
Se  0.4027  0.2041  0.0000  1 As 2.38
Se  0.4146  0.6987  0.2796  1 As 2.37
Se  0.9146  0.3013  0.2204  1 As 2.37
Se  0.9146  0.3013  0.7796  1 As 2.37
Se  0.4146  0.6987  0.7204  1 As 2.37
Na  0.9467  0.1002  0.5000  5 Se 2.90-3.23
Na  0.4467  0.8998  0.0000  5 Se 2.90-3.23
Tl  0.4243  0.3405  0.3010  3 Se 2.98-3.23
Tl  0.9243  0.6595  0.8010  3 Se 2.98-3.23
Tl  0.4243  0.3405  0.6990  3 Se 2.98-3.23
Tl  0.9243  0.6595  0.1990  3 Se 2.98-3.23
As  0.5297  0.8154  0.5000  4 Se 2.36-2.38
As  0.0297  0.1846  0.0000  4 Se 2.36-2.38

Summary:
Its space group is No. 31. The calculation puts the formation energy from raw total energies at -0.38 eV/atom. As for the volume: 33.70 A^3/atom.


(2)
Compound: CaSmBrN
Source: Alexandria
Functional: PBE
Structure: optimized geometry

a b c (Å): 3.6857 3.6857 7.4384
angles (deg): 90.00 104.35 120.00
Last column: nearest neighbours and their distance in Å.
Sites, in units of the cell vectors:
N  0.3053  0.5506  0.8712  3 Ca 2.48, 3 Sm 2.50
Ca  0.0904  0.9431  0.0488  3 N 2.48
Br  0.9659  0.3810  0.3620  3 Ca 3.08, 3 Sm 3.15
Sm  0.5164  0.1561  0.6877  3 N 2.50

Summary:
Its space group is No. 160. The calculation puts the formation energy from raw total energies at -1.35 eV/atom. As for the volume: 20.96 A^3/atom.


(3)
Compound: ZrTi2CoN
Source: Alexandria
Functional: PBE
Structure: optimized geometry

a b c (Å): 4.0476 4.0476 4.4506
angles (deg): 90.00 90.00 90.00
Last column: nearest neighbours and their distance in Å.
Sites, in units of the cell vectors:
Ti  0.5000  0.0000  0.0000  2 N 2.02
Ti  0.0000  0.5000  0.0000  2 N 2.02
Zr  0.0000  0.0000  0.5000  2 N 2.23
N  0.0000  0.0000  0.0000  4 Ti 2.02, 2 Zr 2.23
Co  0.5000  0.5000  0.5000  4 Zr 2.86, 8 Ti 3.01

Summary:
Its space group is No. 123. The calculation puts the formation energy from raw total energies at -0.73 eV/atom. As for the volume: 14.58 A^3/atom.


(4)
Compound: Tb6Y2HoTh3
Source: Alexandria
Functional: PBE
Structure: optimized geometry

a b c (Å): 6.1859 6.1859 11.7849
angles (deg): 95.03 95.03 119.97
Last column: nearest neighbours and their distance in Å.
Sites, in units of the cell vectors:
Tb  0.2482  0.2482  0.7458  3 Th 3.52, 6 Tb 3.57-3.58, 1 Ho 3.60, 2 Y 3.60
Tb  0.0844  0.4171  0.2539  3 Th 3.52, 6 Tb 3.56-3.58, 1 Ho 3.59, 2 Y 3.60
Tb  0.9156  0.5829  0.7461  3 Th 3.52, 6 Tb 3.56-3.58, 1 Ho 3.59, 2 Y 3.60
Tb  0.4171  0.0844  0.2539  3 Th 3.52, 6 Tb 3.56-3.58, 1 Ho 3.59, 2 Y 3.60
Tb  0.5829  0.9156  0.7461  3 Th 3.52, 6 Tb 3.56-3.58, 1 Ho 3.59, 2 Y 3.60
Tb  0.7518  0.7518  0.2542  3 Th 3.52, 6 Tb 3.57-3.58, 1 Ho 3.60, 2 Y 3.60
Th  0.8333  0.1667  0.5000  6 Tb 3.52, 6 Th 3.57
Th  0.1667  0.8333  0.5000  6 Tb 3.52, 6 Th 3.57
Th  0.5000  0.5000  0.5000  6 Tb 3.52, 6 Th 3.57
Y  0.6666  0.3334  0.0000  3 Y 3.57, 3 Ho 3.57, 6 Tb 3.60
Y  0.3334  0.6666  0.0000  3 Y 3.57, 3 Ho 3.57, 6 Tb 3.60
Ho  0.0000  0.0000  0.0000  6 Y 3.57, 6 Tb 3.59-3.60

Summary:
Its space group is No. 12. The formation energy is 0.0247 eV/atom. As for the volume: 32.05 A^3/atom.


(5)
Compound: Nd2TlNi
Source: Alexandria
Functional: PBE
Structure: optimized geometry

a b c (Å): 3.6114 3.6114 7.8553
angles (deg): 90.00 90.00 90.00
Last column: nearest neighbours and their distance in Å.
Sites, in units of the cell vectors:
Nd  0.0000  0.0000  0.7871  4 Ni 3.05, 1 Nd 3.35, 4 Tl 3.41
Nd  0.0000  0.0000  0.2129  4 Ni 3.05, 1 Nd 3.35, 4 Tl 3.41
Tl  0.5000  0.5000  0.5000  8 Nd 3.41, 4 Tl 3.61
Ni  0.5000  0.5000  0.0000  8 Nd 3.05

Summary:
The value obtained for the energy above the most stable polymorph in this dataset is 0.000 eV/atom. Its space group is No. 123. The formation energy is -0.2887 eV/atom. As for the volume: 25.61 A^3/atom.


(6)
Compound: HgPd5
Source: Alexandria
Functional: PBE
Structure: optimized geometry

a b c (Å): 3.9870 4.9275 5.7195
angles (deg): 107.05 90.00 113.86
Last column: nearest neighbours and their distance in Å.
Sites, in units of the cell vectors:
Pd  0.6944  0.3889  0.3889  10 Pd 2.82-2.84, 2 Hg 2.86
Pd  0.0277  0.0553  0.0610  9 Pd 2.81-2.91, 3 Hg 2.84-2.86
Pd  0.3612  0.7225  0.7167  9 Pd 2.81-2.91, 3 Hg 2.84-2.86
Pd  0.0256  0.0513  0.5507  10 Pd 2.79-2.91, 2 Hg 2.85
Pd  0.3633  0.7265  0.2271  10 Pd 2.79-2.91, 2 Hg 2.85
Hg  0.6944  0.3889  0.8889  12 Pd 2.84-2.86

Summary:
Its space group is No. 12. The formation energy is -0.0712 eV/atom. As for the volume: 16.22 A^3/atom.


(7)
Compound: PrPuN3
Source: Alexandria
Functional: PBE
Structure: optimized geometry

a b c (Å): 5.9890 5.9890 10.1610
angles (deg): 73.47 73.47 58.65
Last column: nearest neighbours and their distance in Å.
Sites, in units of the cell vectors:
Pr  0.1134  0.6157  0.1324  5 N 2.51-2.59
Pr  0.6157  0.1134  0.6324  5 N 2.51-2.59
Pr  0.8866  0.3843  0.8676  5 N 2.51-2.59
Pr  0.3843  0.8866  0.3676  5 N 2.51-2.59
N  0.6843  0.1836  0.0857  1 Pu 2.00
N  0.3326  0.3485  0.3515  2 Pu 2.06-2.24
N  0.8164  0.3157  0.4143  1 Pu 2.00
N  0.1658  0.1537  0.1478  2 Pu 2.07-2.23
N  0.1537  0.1658  0.6478  2 Pu 2.07-2.23
N  0.8342  0.8463  0.8522  2 Pu 2.07-2.23
N  0.1836  0.6843  0.5857  1 Pu 2.00
N  0.3157  0.8164  0.9143  1 Pu 2.00
N  0.8463  0.8342  0.3522  2 Pu 2.07-2.23
N  0.6515  0.6674  0.1485  2 Pu 2.06-2.24
N  0.3485  0.3326  0.8515  2 Pu 2.06-2.24
N  0.6674  0.6515  0.6485  2 Pu 2.06-2.24
Pu  0.5000  0.0000  0.0000  4 N 2.06-2.07
Pu  0.0000  0.5000  0.5000  4 N 2.06-2.07
Pu  0.7496  0.2504  0.2500  6 N 2.00-2.24
Pu  0.2504  0.7496  0.7500  6 N 2.00-2.24

Summary:
Its space group is No. 15. The calculation puts the formation energy from raw total energies at -1.08 eV/atom. As for the volume: 14.71 A^3/atom.


(8)
Compound: Re5Os2
Source: Alexandria
Functional: PBE
Structure: optimized geometry

a b c (Å): 6.9755 6.9755 6.9755
angles (deg): 36.42 36.42 36.42
Last column: nearest neighbours and their distance in Å.
Sites, in units of the cell vectors:
Re  0.2059  0.2059  0.2059  4 Re 2.61-2.63, 4 Os 2.69-2.77
Re  0.3398  0.3398  0.3398  4 Re 2.53-2.61, 3 Os 2.79
Re  0.5000  0.5000  0.5000  6 Re 2.63
Re  0.7941  0.7941  0.7941  4 Re 2.61-2.63, 4 Os 2.69-2.77
Re  0.6602  0.6602  0.6602  4 Re 2.53-2.61, 3 Os 2.79
Os  0.0679  0.0679  0.0679  1 Os 2.65, 10 Re 2.69-2.91
Os  0.9321  0.9321  0.9321  1 Os 2.65, 10 Re 2.69-2.91

Summary:
The value obtained for the energy above the most stable polymorph in this dataset is 0.344 eV/atom. Its space group is No. 166. The formation energy is 0.4236 eV/atom. As for the volume: 15.29 A^3/atom.


(9)
Compound: YSi2
Source: Alexandria
Functional: PBE
Structure: optimized geometry

a b c (Å): 5.6244 5.6244 5.9249
angles (deg): 82.35 82.35 40.46
Last column: nearest neighbours and their distance in Å.
Sites, in units of the cell vectors:
Si  0.2697  0.2697  0.4670  2 Si 2.41
Si  0.6788  0.6788  0.3118  3 Si 2.41-2.55
Si  0.6183  0.6183  0.7440  3 Si 2.45-2.55
Si  0.0056  0.0056  0.9245  2 Si 2.45
Y  0.2879  0.2879  0.9599  9 Si 2.95-3.05
Y  0.9731  0.9731  0.4261  7 Si 2.88-3.17

Summary:
Its space group is No. 8. The calculation puts the formation energy from raw total energies at -0.49 eV/atom. As for the volume: 20.07 A^3/atom.


(10)
Compound: Cd2AgHgN
Source: Alexandria
Functional: PBE
Structure: optimized geometry

a b c (Å): 4.5301 4.9588 4.5301
angles (deg): 90.00 90.00 90.00
Last column: nearest neighbours and their distance in Å.
Sites, in units of the cell vectors:
N  0.0000  0.0000  0.0000  4 Cd 2.27, 2 Hg 2.48
Ag  0.5000  0.5000  0.5000  4 Hg 3.20, 8 Cd 3.36
Cd  0.0000  0.0000  0.5000  2 N 2.27
Cd  0.5000  0.0000  0.0000  2 N 2.27
Hg  0.0000  0.5000  0.0000  2 N 2.48

Summary:
Its space group is No. 123. The calculation puts the formation energy from raw total energies at 0.58 eV/atom. As for the volume: 20.35 A^3/atom.


(11)
Compound: GdZrAlIn
Source: Alexandria
Functional: PBE
Structure: optimized geometry

a b c (Å): 5.0831 5.0831 5.0831
angles (deg): 60.00 60.00 60.00
Last column: nearest neighbours and their distance in Å.
Sites, in units of the cell vectors:
Gd  0.0000  0.0000  0.0000  4 Al 3.11, 4 In 3.11
Al  0.7500  0.7500  0.7500  4 Zr 3.11, 4 Gd 3.11
In  0.2500  0.2500  0.2500  4 Gd 3.11, 4 Zr 3.11
Zr  0.5000  0.5000  0.5000  4 In 3.11, 4 Al 3.11

Summary:
Its space group is No. 216. The formation energy is -0.2569 eV/atom. As for the volume: 23.22 A^3/atom.


(12)
Compound: Sr2AlCo
Source: Alexandria
Functional: PBE
Structure: optimized geometry

a b c (Å): 5.1837 5.1837 5.1837
angles (deg): 119.81 119.81 90.33
Last column: nearest neighbours and their distance in Å.
Sites, in units of the cell vectors:
Co  0.7500  0.2500  0.5000  4 Sr 3.18, 4 Al 3.18
Al  0.5000  0.5000  0.0000  4 Sr 3.18, 4 Co 3.18
Sr  0.2500  0.7500  0.5000  4 Al 3.18, 4 Sr 3.18
Sr  0.0000  0.0000  0.0000  4 Co 3.18, 4 Sr 3.18

Summary:
Its space group is No. 119. The formation energy is 0.4172 eV/atom. As for the volume: 24.69 A^3/atom.